Compound: YScPb2
Source: the Alexandria database
Functional: PBE
Structure: optimized geometry

```
YScPb2
1.0
-6.655 -4.753 0.444
3.631 -5.534 -4.824
-0.216 -6.700 0.571
Y Pb Sc
2 4 2
Cartesian
-4.192 -8.298 -0.587
0.000 0.000 0.000
1.284 -5.799 -2.810
-2.863 -13.944 -3.332
-1.242 -8.965 -1.286
-3.660 -5.266 -0.189
-1.512 -5.144 -2.190
0.951 -8.689 -3.221
```

Volume in Å³ per cell: 229.7
DFT formation energy in eV per atom: -0.226
D(E_F) in states/eV per atom: 0.831



Compound: YScPb
Source: the Alexandria database
Functional: PBE
Structure: optimized geometry

```
YScPb
1.0
-2.147 -4.496 -1.627
-0.238 1.337 5.063
-5.674 3.102 -1.085
Y Pb Sc
2 2 2
Cartesian
-2.837 1.551 -0.543
0.000 0.000 0.000
-2.929 -1.776 0.332
-5.130 1.719 2.020
-2.293 0.168 2.562
-5.766 -0.225 -0.210
```

Volume in Å³ per cell: 156.0
DFT formation energy in eV per atom: -0.399
Energy above the lowest structure with this stoichiometry in eV/atom: 0.0820
D(E_F) in states/eV per atom: 1.233



Compound: YSc2Pb
Source: the Alexandria database
Functional: PBE
Structure: optimized geometry

```
YSc2Pb
1.0
-3.061 -1.927 -0.243
-0.049 -0.376 3.605
-4.320 6.779 0.649
Y Sc Pb
1 2 1
Cartesian
-2.635 0.543 1.843
-2.249 3.529 0.338
-4.232 6.640 0.635
-4.795 3.932 2.168
```

Volume in Å³ per cell: 106.0
DFT formation energy in eV per atom: -0.157
D(E_F) in states/eV per atom: 1.481



Compound: YSc4Pb5
Source: the Alexandria database
Functional: PBE
Structure: optimized geometry

```
YSc4Pb5
1.0
-2.511 -0.780 5.473
-3.372 -6.546 0.887
4.531 -3.063 5.010
Pb Sc Y
5 4 1
Cartesian
-1.173 -4.622 2.177
-0.614 -3.296 5.991
-0.743 -7.094 5.390
-1.258 -0.391 2.742
-0.184 -5.768 9.204
1.426 -5.440 6.622
-2.035 -7.868 8.055
-2.784 -4.951 4.760
0.678 -2.523 3.326
-0.003 -0.001 0.006
```

Volume in Å³ per cell: 278.0
DFT formation energy in eV per atom: -0.214
D(E_F) in states/eV per atom: 1.092